No. 1
PmZnGaCu6 | PBE | relaxed

Summary:
formation enthalpy at 0 K = 0.1147 eV/atom
D(E_F) = 6.98 states/eV/cell

Cell lengths 6.9313, 8.8146, 7.4010 Å; angles 126.55, 117.92, 90.00 degrees
Closest atoms and distances in Å follow each position.
Fractional positions:
1 Pm 0.7183 0.4683 0.4367  6 Cu 2.90-2.99, 2 Ga 3.05
2 Pm 0.2817 0.5317 0.5633  6 Cu 2.90-2.99, 2 Ga 3.05
3 Zn 0.5000 0.0000 0.5000  6 Cu 2.37-2.51
4 Zn 0.0000 0.0000 0.5000  6 Cu 2.37-2.51
5 Ga 0.5000 0.5000 0.0000  6 Cu 2.34-2.52
6 Ga 0.5000 0.0000 0.0000  6 Cu 2.34-2.52
7 Cu 0.5820 0.8320 0.1641  2 Ga 2.34, 2 Zn 2.37
8 Cu 0.9718 0.2218 0.9436  8 Cu 2.67-2.98, 2 Zn 2.76
9 Cu 0.9449 0.1213 0.2529  4 Cu 2.45-2.67, 1 Zn 2.51, 1 Ga 2.52
10 Cu 0.3080 0.6316 0.2529  4 Cu 2.45-2.67, 1 Zn 2.51, 1 Ga 2.52
11 Cu 0.3080 0.1213 0.2529  4 Cu 2.45-2.67, 1 Zn 2.51, 1 Ga 2.52
12 Cu 0.9449 0.6316 0.2529  4 Cu 2.45-2.67, 1 Zn 2.51, 1 Ga 2.52
13 Cu 0.4180 0.1680 0.8359  2 Ga 2.34, 2 Zn 2.37
14 Cu 0.0282 0.7782 0.0564  8 Cu 2.67-2.98, 2 Zn 2.76
15 Cu 0.0551 0.8787 0.7471  4 Cu 2.45-2.67, 1 Zn 2.51, 1 Ga 2.52
16 Cu 0.6920 0.3684 0.7471  4 Cu 2.45-2.67, 1 Zn 2.51, 1 Ga 2.52
17 Cu 0.6920 0.8787 0.7471  4 Cu 2.45-2.67, 1 Zn 2.51, 1 Ga 2.52
18 Cu 0.0551 0.3684 0.7471  4 Cu 2.45-2.67, 1 Zn 2.51, 1 Ga 2.52

No. 2
Pm2ZnGa6Cu | PBE | relaxed

Summary:
formation enthalpy at 0 K = -0.3041 eV/atom
D(E_F) = 8.98 states/eV/cell

Cell lengths 6.3168, 6.3168, 12.1941 Å; angles 74.99, 74.99, 60.00 degrees
Closest atoms and distances in Å follow each position.
Fractional positions:
1 Pm 0.8932 0.8932 0.3205  12 Ga 3.25-3.51
2 Pm 0.1068 0.1068 0.6795  12 Ga 3.25-3.51
3 Pm 0.7159 0.7159 0.8524  12 Ga 3.21-3.34
4 Pm 0.2841 0.2841 0.1476  12 Ga 3.21-3.34
5 Zn 0.5723 0.5723 0.2831  1 Cu 2.52, 6 Ga 2.60-2.61
6 Zn 0.4277 0.4277 0.7169  1 Cu 2.52, 6 Ga 2.60-2.61
7 Ga 0.9311 0.3319 0.4051  1 Cu 2.45, 2 Ga 2.53, 1 Zn 2.61
8 Ga 0.3319 0.9311 0.4051  1 Cu 2.45, 2 Ga 2.53, 1 Zn 2.61
9 Ga 0.3319 0.3319 0.4051  1 Cu 2.45, 2 Ga 2.53, 1 Zn 2.61
10 Ga 0.0689 0.6681 0.5949  1 Cu 2.45, 2 Ga 2.53, 1 Zn 2.61
11 Ga 0.6681 0.0689 0.5949  1 Cu 2.45, 2 Ga 2.53, 1 Zn 2.61
12 Ga 0.6681 0.6681 0.5949  1 Cu 2.45, 2 Ga 2.53, 1 Zn 2.61
13 Ga 0.6559 0.2248 0.8945  1 Cu 2.41, 1 Zn 2.60
14 Ga 0.2248 0.6559 0.8945  1 Cu 2.41, 1 Zn 2.60
15 Ga 0.2248 0.2248 0.8945  1 Cu 2.41, 1 Zn 2.60
16 Ga 0.3441 0.7752 0.1055  1 Cu 2.41, 1 Zn 2.60
17 Ga 0.7752 0.3441 0.1055  1 Cu 2.41, 1 Zn 2.60
18 Ga 0.7752 0.7752 0.1055  1 Cu 2.41, 1 Zn 2.60
19 Cu 0.0000 0.0000 0.0000  6 Ga 2.41
20 Cu 0.5000 0.5000 0.5000  6 Ga 2.45, 2 Zn 2.52

No. 3
Pm2Zn4GaCu3 | PBE | relaxed

Summary:
formation enthalpy at 0 K = -0.2914 eV/atom
D(E_F) = 5.98 states/eV/cell

Cell lengths 4.0766, 4.0766, 10.9195 Å; angles 90.00, 90.00, 90.00 degrees
Closest atoms and distances in Å follow each position.
Fractional positions:
1 Pm 0.5000 0.0000 0.2480  6 Cu 3.12-3.42, 8 Zn 3.14-3.39, 2 Ga 3.42
2 Pm 0.0000 0.5000 0.7520  6 Cu 3.12-3.42, 8 Zn 3.14-3.39, 2 Ga 3.42
3 Zn 0.5000 0.5000 0.0000  4 Cu 2.53
4 Zn 0.0000 0.0000 0.0000  4 Cu 2.53
5 Zn 0.5000 0.0000 0.6386  3 Cu 2.44-2.54, 2 Ga 2.54
6 Zn 0.0000 0.5000 0.3614  3 Cu 2.44-2.54, 2 Ga 2.54
7 Ga 0.5000 0.5000 0.5000  4 Zn 2.54
8 Cu 0.0000 0.0000 0.5000  4 Zn 2.54
9 Cu 0.5000 0.0000 0.8624  5 Zn 2.44-2.53
10 Cu 0.0000 0.5000 0.1376  5 Zn 2.44-2.53

No. 4
Pm2Zn3GaCu12 | PBE | relaxed

Summary:
formation enthalpy at 0 K = 0.2322 eV/atom
D(E_F) = 7.63 states/eV/cell

Cell lengths 7.4229, 7.4229, 7.4229 Å; angles 67.13, 67.13, 67.13 degrees
Closest atoms and distances in Å follow each position.
Fractional positions:
1 Pm 0.6008 0.6008 0.6008  9 Cu 2.85-3.07
2 Pm 0.3992 0.3992 0.3992  9 Cu 2.85-3.07
3 Zn 0.5000 0.0000 0.0000  6 Cu 2.48-2.54
4 Zn 0.0000 0.5000 0.0000  6 Cu 2.48-2.54
5 Zn 0.0000 0.0000 0.5000  6 Cu 2.48-2.54
6 Ga 0.0000 0.0000 0.0000  6 Cu 2.35
7 Cu 0.3680 0.3680 0.0125  2 Cu 2.39, 2 Zn 2.54
8 Cu 0.8586 0.8586 0.3488  1 Ga 2.35, 4 Cu 2.39-2.44, 1 Zn 2.48
9 Cu 0.3488 0.8586 0.8586  1 Ga 2.35, 4 Cu 2.39-2.44, 1 Zn 2.48
10 Cu 0.0125 0.3680 0.3680  2 Cu 2.39, 2 Zn 2.54
11 Cu 0.8586 0.3488 0.8586  1 Ga 2.35, 4 Cu 2.39-2.44, 1 Zn 2.48
12 Cu 0.3680 0.0125 0.3680  2 Cu 2.39, 2 Zn 2.54
13 Cu 0.6320 0.6320 0.9875  2 Cu 2.39, 2 Zn 2.54
14 Cu 0.1414 0.1414 0.6512  1 Ga 2.35, 4 Cu 2.39-2.44, 1 Zn 2.48
15 Cu 0.6512 0.1414 0.1414  1 Ga 2.35, 4 Cu 2.39-2.44, 1 Zn 2.48
16 Cu 0.9875 0.6320 0.6320  2 Cu 2.39, 2 Zn 2.54
17 Cu 0.1414 0.6512 0.1414  1 Ga 2.35, 4 Cu 2.39-2.44, 1 Zn 2.48
18 Cu 0.6320 0.9875 0.6320  2 Cu 2.39, 2 Zn 2.54

No. 5
PmZnGaCu | PBE | relaxed

Summary:
formation enthalpy at 0 K = -0.3057 eV/atom
D(E_F) = 1.86 states/eV/cell

Cell lengths 4.7134, 4.7134, 4.7134 Å; angles 60.00, 60.00, 60.00 degrees
Closest atoms and distances in Å follow each position.
Fractional positions:
1 Zn 0.7500 0.7500 0.7500  4 Ga 2.89, 4 Pm 2.89
2 Cu 0.2500 0.2500 0.2500  4 Pm 2.89, 4 Ga 2.89
3 Ga 0.5000 0.5000 0.5000  4 Cu 2.89, 4 Zn 2.89
4 Pm 0.0000 0.0000 0.0000  4 Zn 2.89, 4 Cu 2.89

No. 6
PmZn2Ga4Cu | PBE | relaxed

Summary:
formation enthalpy at 0 K = -0.2195 eV/atom
D(E_F) = 2.58 states/eV/cell

Cell lengths 4.4194, 4.4194, 9.0129 Å; angles 75.81, 75.81, 60.00 degrees
Closest atoms and distances in Å follow each position.
Fractional positions:
1 Pm 0.0000 0.0000 0.0000  6 Ga 3.10, 6 Zn 3.24
2 Zn 0.7436 0.7436 0.7693  3 Ga 2.56
3 Zn 0.2564 0.2564 0.2307  3 Ga 2.56
4 Ga 0.4009 0.4009 0.7972  3 Zn 2.56, 1 Cu 2.57
5 Ga 0.8644 0.8644 0.4069  3 Cu 2.68, 3 Zn 2.97
6 Ga 0.1356 0.1356 0.5931  3 Cu 2.68, 3 Zn 2.97
7 Ga 0.5991 0.5991 0.2028  3 Zn 2.56, 1 Cu 2.57
8 Cu 0.5000 0.5000 0.5000  8 Ga 2.57-2.68

No. 7
Pm2ZnGaCu6 | PBE | relaxed

Summary:
formation enthalpy at 0 K = 0.0819 eV/atom
D(E_F) = 5.46 states/eV/cell

Cell lengths 6.4495, 6.4495, 6.4495 Å; angles 60.00, 60.00, 90.00 degrees
Closest atoms and distances in Å follow each position.
Fractional positions:
1 Pm 0.2500 0.7500 0.5000  12 Cu 3.22
2 Pm 0.7500 0.2500 0.5000  12 Cu 3.22
3 Zn 0.5000 0.5000 0.0000  6 Cu 2.27
4 Ga 0.0000 0.0000 0.0000  6 Cu 2.29
5 Cu 0.2507 0.7493 0.0000  1 Zn 2.27, 1 Ga 2.29
6 Cu 0.7493 0.7493 0.0000  1 Zn 2.27, 1 Ga 2.29
7 Cu 0.2507 0.2507 0.4985  1 Zn 2.27, 1 Ga 2.29
8 Cu 0.7493 0.2507 0.0000  1 Zn 2.27, 1 Ga 2.29
9 Cu 0.2507 0.2507 0.0000  1 Zn 2.27, 1 Ga 2.29
10 Cu 0.7493 0.7493 0.5015  1 Zn 2.27, 1 Ga 2.29

No. 8
PmZrGaCu | PBE | relaxed

Summary:
formation enthalpy at 0 K = -0.2481 eV/atom
D(E_F) = 4.42 states/eV/cell

Cell lengths 4.9150, 4.9150, 4.9150 Å; angles 60.00, 60.00, 60.00 degrees
Closest atoms and distances in Å follow each position.
Fractional positions:
1 Cu 0.2500 0.2500 0.2500  4 Zr 3.01, 4 Pm 3.01
2 Ga 0.7500 0.7500 0.7500  4 Zr 3.01, 4 Pm 3.01
3 Zr 0.5000 0.5000 0.5000  4 Ga 3.01, 4 Cu 3.01
4 Pm 0.0000 0.0000 0.0000  4 Cu 3.01, 4 Ga 3.01

No. 9
PrGa2Cu5 | PBE | relaxed

Summary:
formation enthalpy at 0 K = -0.2014 eV/atom
D(E_F) = 2.92 states/eV/cell

Cell lengths 3.9416, 6.2381, 6.2381 Å; angles 66.50, 71.58, 71.58 degrees
Closest atoms and distances in Å follow each position.
Fractional positions:
1 Pr 0.0000 0.0000 0.0000  4 Ga 3.12, 10 Cu 3.21-3.42
2 Ga 0.7499 0.7501 0.7501  7 Cu 2.42-2.58
3 Ga 0.2501 0.2499 0.2499  7 Cu 2.42-2.58
4 Cu 0.0000 0.5000 0.5000  2 Ga 2.42, 8 Cu 2.66
5 Cu 0.6335 0.5467 0.1864  3 Ga 2.46-2.58, 4 Cu 2.46-2.66
6 Cu 0.3665 0.4533 0.8136  3 Ga 2.46-2.58, 4 Cu 2.46-2.66
7 Cu 0.3665 0.8136 0.4533  3 Ga 2.46-2.58, 4 Cu 2.46-2.66
8 Cu 0.6335 0.1864 0.5467  3 Ga 2.46-2.58, 4 Cu 2.46-2.66

No. 10
Pr8Ga2Cu | PBE | relaxed

Summary:
formation enthalpy at 0 K = -0.1258 eV/atom
D(E_F) = 13.84 states/eV/cell
polymorph energy (0 for the lowest one) = 84 meV per atom

Cell lengths 5.0933, 8.9277, 8.8269 Å; angles 120.38, 106.77, 90.00 degrees
Closest atoms and distances in Å follow each position.
Fractional positions:
1 Pr 0.6584 0.8781 0.3169  3 Ga 3.22-3.27, 1 Cu 3.38, 5 Pr 3.44-3.59
2 Pr 0.3416 0.5612 0.6831  3 Ga 3.22-3.27, 1 Cu 3.38, 5 Pr 3.44-3.59
3 Pr 0.1335 0.1335 0.2670  2 Cu 3.19, 2 Ga 3.49, 2 Pr 3.52
4 Pr 0.0000 0.3302 0.0000  1 Pr 3.03, 2 Ga 3.25
5 Pr 0.8665 0.8665 0.7330  2 Cu 3.19, 2 Ga 3.49, 2 Pr 3.52
6 Pr 0.6584 0.4388 0.3169  3 Ga 3.22-3.27, 1 Cu 3.38, 5 Pr 3.44-3.59
7 Pr 0.3416 0.1219 0.6831  3 Ga 3.22-3.27, 1 Cu 3.38, 5 Pr 3.44-3.59
8 Pr 0.0000 0.6698 0.0000  1 Pr 3.03, 2 Ga 3.25
9 Cu 0.5000 0.0000 0.0000  8 Pr 3.19-3.38
10 Ga 0.2003 0.7003 0.4006  10 Pr 3.22-3.49
11 Ga 0.7997 0.2997 0.5994  10 Pr 3.22-3.49

No. 11
PrGa6Cu12 | PBE | relaxed

Summary:
formation enthalpy at 0 K = -0.0698 eV/atom
D(E_F) = 3.52 states/eV/cell

Cell lengths 6.8468, 6.8468, 6.8468 Å; angles 103.93, 103.93, 103.93 degrees
Closest atoms and distances in Å follow each position.
Fractional positions:
1 Pr 0.0000 0.0000 0.0000  6 Cu 3.04
2 Ga 0.7041 0.2754 0.2754  7 Cu 2.40-2.61
3 Ga 0.2754 0.2754 0.7041  7 Cu 2.40-2.61
4 Ga 0.2754 0.7041 0.2754  7 Cu 2.40-2.61
5 Ga 0.7246 0.7246 0.2959  7 Cu 2.40-2.61
6 Ga 0.2959 0.7246 0.7246  7 Cu 2.40-2.61
7 Ga 0.7246 0.2959 0.7246  7 Cu 2.40-2.61
8 Cu 0.8880 0.1120 0.5000  4 Ga 2.40-2.50, 3 Cu 2.42-2.61
9 Cu 0.8650 0.6114 0.6114  4 Ga 2.52-2.72, 4 Cu 2.61-2.73
10 Cu 0.6114 0.6114 0.8650  4 Ga 2.52-2.72, 4 Cu 2.61-2.73
11 Cu 0.3886 0.1350 0.3886  4 Ga 2.52-2.72, 4 Cu 2.61-2.73
12 Cu 0.3886 0.3886 0.1350  4 Ga 2.52-2.72, 4 Cu 2.61-2.73
13 Cu 0.1350 0.3886 0.3886  4 Ga 2.52-2.72, 4 Cu 2.61-2.73
14 Cu 0.1120 0.5000 0.8880  4 Ga 2.40-2.50, 3 Cu 2.42-2.61
15 Cu 0.5000 0.8880 0.1120  4 Ga 2.40-2.50, 3 Cu 2.42-2.61
16 Cu 0.1120 0.8880 0.5000  4 Ga 2.40-2.50, 3 Cu 2.42-2.61
17 Cu 0.8880 0.5000 0.1120  4 Ga 2.40-2.50, 3 Cu 2.42-2.61
18 Cu 0.5000 0.1120 0.8880  4 Ga 2.40-2.50, 3 Cu 2.42-2.61
19 Cu 0.6114 0.8650 0.6114  4 Ga 2.52-2.72, 4 Cu 2.61-2.73

No. 12
PrGa2Cu9 | PBE | relaxed

Summary:
formation enthalpy at 0 K = -0.1625 eV/atom
D(E_F) = 10.62 states/eV/cell
polymorph energy (0 for the lowest one) = 0 meV per atom

Cell lengths 6.6477, 7.9498, 7.9498 Å; angles 79.93, 65.28, 65.28 degrees
Closest atoms and distances in Å follow each position.
Fractional positions:
1 Pr 0.5000 0.0000 0.0000  18 Cu 3.21-3.32, 4 Ga 3.57
2 Pr 0.2500 0.5000 0.5000  18 Cu 3.21-3.32, 4 Ga 3.57
3 Ga 0.8750 0.2500 0.7500  10 Cu 2.49-2.69
4 Ga 0.8750 0.7500 0.2500  10 Cu 2.49-2.69
5 Ga 0.8750 0.2500 0.2500  10 Cu 2.49-2.69
6 Ga 0.3750 0.7500 0.7500  10 Cu 2.49-2.69
7 Cu 0.7500 0.5000 0.5000  4 Ga 2.69, 8 Cu 2.79
8 Cu 0.0000 0.0000 0.0000  4 Ga 2.69, 8 Cu 2.79
9 Cu 0.0160 0.9140 0.6685  2 Ga 2.49-2.54, 7 Cu 2.51-2.79
10 Cu 0.5985 0.0860 0.3315  2 Ga 2.49-2.54, 7 Cu 2.51-2.79
11 Cu 0.6800 0.1685 0.5860  2 Ga 2.49-2.54, 7 Cu 2.51-2.79
12 Cu 0.4345 0.8315 0.4140  2 Ga 2.49-2.54, 7 Cu 2.51-2.79
13 Cu 0.7340 0.8315 0.5860  2 Ga 2.49-2.54, 7 Cu 2.51-2.79
14 Cu 0.1515 0.1685 0.4140  2 Ga 2.49-2.54, 7 Cu 2.51-2.79
15 Cu 0.0700 0.9140 0.3315  2 Ga 2.49-2.54, 7 Cu 2.51-2.79
16 Cu 0.3155 0.0860 0.6685  2 Ga 2.49-2.54, 7 Cu 2.51-2.79
17 Cu 0.7340 0.5860 0.8315  2 Ga 2.49-2.54, 7 Cu 2.51-2.79
18 Cu 0.1515 0.4140 0.1685  2 Ga 2.49-2.54, 7 Cu 2.51-2.79
19 Cu 0.0700 0.3315 0.9140  2 Ga 2.49-2.54, 7 Cu 2.51-2.79
20 Cu 0.3155 0.6685 0.0860  2 Ga 2.49-2.54, 7 Cu 2.51-2.79
21 Cu 0.0160 0.6685 0.9140  2 Ga 2.49-2.54, 7 Cu 2.51-2.79
22 Cu 0.5985 0.3315 0.0860  2 Ga 2.49-2.54, 7 Cu 2.51-2.79
23 Cu 0.6800 0.5860 0.1685  2 Ga 2.49-2.54, 7 Cu 2.51-2.79
24 Cu 0.4345 0.4140 0.8315  2 Ga 2.49-2.54, 7 Cu 2.51-2.79